Record 1
The following is a PBE calculation of VPt3Au after structural relaxation, from the Alexandria database. Values from VASP.

Calculated values
Magnetization in μB per cell: 0.00
Total DFT energy (no corrections) in eV per atom: -5.311
SG: Pm-3m, No. 221

Quantum ESPRESSO input file:
```
&SYSTEM
  ibrav = 0, nat = 5, ntyp = 3
/
ATOMIC_SPECIES
Pt 195.08 Pt.upf
V 50.94 V.upf
Au 196.97 Au.upf
CELL_PARAMETERS angstrom
4.6199 0.0000 0.0000
0.0000 4.6199 0.0000
0.0000 0.0000 4.6199
ATOMIC_POSITIONS crystal
Pt 0.0000 0.0000 0.5000
Pt 0.0000 0.5000 0.0000
Pt 0.5000 0.0000 0.0000
V 0.0000 0.0000 0.0000
Au 0.5000 0.5000 0.5000
```


Record 2
The following is a PBE calculation of V2PtAu after structural relaxation, from the Alexandria database. Values from VASP.

Calculated values
Magnetization in μB per cell: 0.00
Total DFT energy (no corrections) in eV per atom: -6.659
SG: I-42d, No. 122

Quantum ESPRESSO input file:
```
&SYSTEM
  ibrav = 0, nat = 8, ntyp = 3
/
ATOMIC_SPECIES
Au 196.97 Au.upf
V 50.94 V.upf
Pt 195.08 Pt.upf
CELL_PARAMETERS angstrom
-0.4423 2.8361 6.4744
5.6790 -3.7197 2.0174
4.1901 1.5443 3.4833
ATOMIC_POSITIONS crystal
Au 0.0000 0.0000 0.0000
Au 0.7500 0.2500 0.5000
V 0.3750 0.4002 0.7500
V 0.8750 0.8498 0.7500
V 0.5998 0.1250 0.2500
V 0.1502 0.6250 0.2500
Pt 0.5000 0.5000 0.0000
Pt 0.2500 0.7500 0.5000
```


Record 3
The following is a PBE calculation of VPtAu after structural relaxation, from the Alexandria database. Values from VASP.

Calculated values
Magnetization in μB per cell: 0.00
Total DFT energy (no corrections) in eV per atom: -6.304
SG: C2/m, No. 12

Quantum ESPRESSO input file:
```
&SYSTEM
  ibrav = 0, nat = 6, ntyp = 3
/
ATOMIC_SPECIES
V 50.94 V.upf
Au 196.97 Au.upf
Pt 195.08 Pt.upf
CELL_PARAMETERS angstrom
-1.6556 -2.2827 0.2077
1.0584 -2.5672 -0.5320
-0.5158 -0.0741 14.3229
ATOMIC_POSITIONS crystal
V 0.3195 0.1014 0.2597
V 0.6805 0.8986 0.7403
Au 0.7953 0.5050 0.9044
Au 0.2047 0.4950 0.0956
Pt 0.7873 0.0164 0.4089
Pt 0.2127 0.9836 0.5911
```


Record 4
The following is a PBE calculation of VPt6Au after structural relaxation, from the Alexandria database. Values from VASP.

Calculated values
Magnetization in μB per cell: 0.00
Total DFT energy (no corrections) in eV per atom: -6.346
SG: P4/mmm, No. 123

Quantum ESPRESSO input file:
```
&SYSTEM
  ibrav = 0, nat = 8, ntyp = 3
/
ATOMIC_SPECIES
Pt 195.08 Pt.upf
Au 196.97 Au.upf
V 50.94 V.upf
CELL_PARAMETERS angstrom
3.9630 0.0000 0.0000
0.0000 3.9630 0.0000
0.0000 0.0000 7.9306
ATOMIC_POSITIONS crystal
Pt 0.5000 0.5000 0.0000
Pt 0.0000 0.5000 0.7347
Pt 0.0000 0.5000 0.2653
Pt 0.5000 0.0000 0.7347
Pt 0.5000 0.0000 0.2653
Pt 0.5000 0.5000 0.5000
Au 0.0000 0.0000 0.0000
V 0.0000 0.0000 0.5000
```


Record 5
The following is a PBE calculation of VPtAu3 after structural relaxation, from the Alexandria database. Values from VASP.

Calculated values
Magnetization in μB per cell: 1.12
Total DFT energy (no corrections) in eV per atom: -3.757
SG: Pm-3m, No. 221

Quantum ESPRESSO input file:
```
&SYSTEM
  ibrav = 0, nat = 5, ntyp = 3
/
ATOMIC_SPECIES
Au 196.97 Au.upf
Pt 195.08 Pt.upf
V 50.94 V.upf
CELL_PARAMETERS angstrom
4.7928 0.0000 0.0000
0.0000 4.7928 0.0000
0.0000 0.0000 4.7928
ATOMIC_POSITIONS crystal
Au 0.0000 0.5000 0.0000
Au 0.0000 0.0000 0.5000
Au 0.5000 0.0000 0.0000
Pt 0.5000 0.5000 0.5000
V 0.0000 0.0000 0.0000
```


Record 6
The following is a PBE calculation of V4Pt5Au after structural relaxation, from the Alexandria database. Values from VASP.

Calculated values
Magnetization in μB per cell: 0.00
Total DFT energy (no corrections) in eV per atom: -7.478
SG: P4/mmm, No. 123

Quantum ESPRESSO input file:
```
&SYSTEM
  ibrav = 0, nat = 10, ntyp = 3
/
ATOMIC_SPECIES
V 50.94 V.upf
Au 196.97 Au.upf
Pt 195.08 Pt.upf
CELL_PARAMETERS angstrom
2.7417 0.0000 0.0000
0.0000 2.7417 0.0000
0.0000 0.0000 19.7485
ATOMIC_POSITIONS crystal
V 0.0000 0.0000 0.7941
V 0.0000 0.0000 0.4020
V 0.0000 0.0000 0.2059
V 0.0000 0.0000 0.5980
Au 0.0000 0.0000 0.0000
Pt 0.5000 0.5000 0.3048
Pt 0.5000 0.5000 0.8846
Pt 0.5000 0.5000 0.5000
Pt 0.5000 0.5000 0.1154
Pt 0.5000 0.5000 0.6952
```